Entry 1:
Material: DyErMg3
Method: DFT, PBE-GGA
State: optimized geometry

## Properties
density of states at the Fermi level = 10.95 states/eV/cell
formation energy from the elements = 24 meV per atom
total magnetization = 0.14 μB per formula unit
excess energy over the best structure of this formula in the dataset = 50 meV per atom

Structure (CIF):
```
data_DyErMg3
_symmetry_space_group_name_H-M 'P 1'
_symmetry_Int_Tables_number 1
_cell_length_a 8.982
_cell_length_b 8.982
_cell_length_c 8.982
_cell_angle_alpha 40.11
_cell_angle_beta 40.11
_cell_angle_gamma 40.11
loop_
_symmetry_equiv_pos_as_xyz
'x,y,z'
loop_
_atom_site_label
_atom_site_type_symbol
_atom_site_fract_x
_atom_site_fract_y
_atom_site_fract_z
Dy1 Dy 0.165 0.165 0.165
Dy2 Dy 0.835 0.835 0.835
Er1 Er 0.433 0.433 0.433
Er2 Er 0.567 0.567 0.567
Mg1 Mg 0.121 0.121 0.611
Mg2 Mg 0.121 0.611 0.121
Mg3 Mg 0.389 0.879 0.879
Mg4 Mg 0.611 0.121 0.121
Mg5 Mg 0.879 0.389 0.879
Mg6 Mg 0.879 0.879 0.389
```

Entry 2:
Material: FeSbPt4
Method: DFT, PBE-GGA
State: optimized geometry

## Properties
ΔE_f (raw) = 0.14 eV per atom
density of states at the Fermi level = 8.85 states/eV/cell
total magnetization = 3.88 μB per formula unit

Structure (CIF):
```
data_FeSbPt4
_symmetry_space_group_name_H-M 'P 1'
_symmetry_Int_Tables_number 1
_cell_length_a 5.321
_cell_length_b 5.321
_cell_length_c 5.321
_cell_angle_alpha 60.00
_cell_angle_beta 60.00
_cell_angle_gamma 60.00
loop_
_symmetry_equiv_pos_as_xyz
'x,y,z'
loop_
_atom_site_label
_atom_site_type_symbol
_atom_site_fract_x
_atom_site_fract_y
_atom_site_fract_z
Fe1 Fe 0.000 0.000 0.000
Sb1 Sb 0.250 0.250 0.250
Pt1 Pt 0.123 0.626 0.626
Pt2 Pt 0.626 0.123 0.626
Pt3 Pt 0.626 0.626 0.123
Pt4 Pt 0.626 0.626 0.626
```

Entry 3:
Material: GaWC3
Method: DFT, PBE-GGA
State: optimized geometry

## Properties
density of states at the Fermi level = 3.52 states/eV/cell
formation energy from the elements = 1748 meV per atom
total magnetization = 0.00 μB per formula unit
excess energy over the best structure of this formula in the dataset = 0 meV per atom

Structure (CIF):
```
data_GaWC3
_symmetry_space_group_name_H-M 'P 1'
_symmetry_Int_Tables_number 1
_cell_length_a 4.142
_cell_length_b 4.142
_cell_length_c 4.142
_cell_angle_alpha 90.00
_cell_angle_beta 90.00
_cell_angle_gamma 90.00
loop_
_symmetry_equiv_pos_as_xyz
'x,y,z'
loop_
_atom_site_label
_atom_site_type_symbol
_atom_site_fract_x
_atom_site_fract_y
_atom_site_fract_z
Ga1 Ga 0.000 0.000 0.000
W1 W 0.500 0.500 0.500
C1 C 0.000 0.500 0.500
C2 C 0.500 0.000 0.500
C3 C 0.500 0.500 0.000
```